{
  "formula": "PmSm8Y4",
  "functional": "GGA-PBE",
  "state": "relaxed",
  "formation_energy_ev_per_atom": 0.502,
  "lattice": [[-0.274, 11.127, -1.389], [0.311, -6.763, -8.944], [-4.410, -5.283, 3.841]],
  "species": ["Sm", "Y", "Sm", "Sm", "Sm", "Pm", "Sm", "Sm", "Sm", "Y", "Y", "Sm", "Y"],
  "frac_coords": [[0.007, 0.245, 0.770], [0.000, 0.500, 0.000], [0.993, 0.238, 0.230], [0.522, 0.761, 0.283], [0.525, 0.762, 0.770], [0.000, 0.500, 0.500], [0.478, 0.239, 0.717], [0.475, 0.238, 0.230], [0.993, 0.755, 0.230], [0.000, 0.000, 0.000], [0.500, 0.500, 0.000], [0.007, 0.762, 0.770], [0.500, 0.000, 0.000]]
}